BaLaP2 after structural relaxation. Source: Alexandria via LeMat-Bulk, functional PBE.

**Excess energy over the best structure of this formula in the dataset**: 1.02 eV/f.u.
**Spin magnetization**: 0.00 μB/atom
**Total energy**: -5.26 eV per atom

a = 5.3372 Å, b = 5.3372 Å, c = 5.3372 Å
α = 60.00°, β = 60.00°, γ = 60.00°
Atoms (fractional coordinates):
P 0.2500 0.2500 0.2500
P 0.7500 0.7500 0.7500
Ba 0.0000 0.0000 0.0000
La 0.5000 0.5000 0.5000

=====

Rb3Sc2TiTe6 after structural relaxation. Source: Alexandria via LeMat-Bulk, functional PBE.

**E_form (uncorrected)**: -1080 meV/atom
**Spin magnetization**: 0.08 μB/atom
**Total energy**: -4.61 eV per atom

a = 7.4291 Å, b = 7.4291 Å, c = 8.8423 Å
α = 98.05°, β = 98.05°, γ = 120.00°
Each line ends with the local moment (μB).
Atoms (fractional coordinates):
Sc 0.6663 0.3337 0.0000  0.04
Te 0.3874 0.0623 0.1870  -0.02
Sc 0.3337 0.6663 0.0000  0.04
Rb 0.8306 0.1694 0.5000  0.00
Te 0.6126 0.9377 0.8130  -0.02
Te 0.2623 0.2623 0.8118  -0.02
Ti 0.0000 0.0000 0.0000  0.86
Rb 0.5000 0.5000 0.5000  0.00
Te 0.9377 0.6126 0.8130  -0.02
Te 0.7377 0.7377 0.1882  -0.02
Rb 0.1694 0.8306 0.5000  0.00
Te 0.0623 0.3874 0.1870  -0.02

=====

AlInTc2 after structural relaxation. Source: Alexandria via LeMat-Bulk, functional PBE.

**Excess energy over the best structure of this formula in the dataset**: 1.11 eV/f.u.
**Spin magnetization**: 0.00 μB/atom
**Total energy**: -6.58 eV per atom

a = 5.2716 Å, b = 5.1898 Å, c = 2.8496 Å
α = 78.40°, β = 81.68°, γ = 117.92°
Atoms (fractional coordinates):
Tc 0.0000 0.0000 0.0000
In 0.5000 0.5000 0.0000
Al 0.0000 0.5000 0.5000
Tc 0.5000 0.0000 0.5000

=====

TaMn2Cl after structural relaxation. Source: Alexandria via LeMat-Bulk, functional PBE.

**Excess energy over the best structure of this formula in the dataset**: 0.87 eV/f.u.
**E_form (uncorrected)**: 248 meV/atom
**Spin magnetization**: 1.18 μB/atom
**Total energy**: -7.76 eV per atom

a = 7.1019 Å, b = 7.1019 Å, c = 7.1019 Å
α = 155.09°, β = 153.10°, γ = 36.99°
Each line ends with the local moment (μB).
Atoms (fractional coordinates):
Mn 0.0454 0.0454 0.0000  0.74
Ta 0.4684 0.4684 0.0000  -0.07
Cl 0.3071 0.8071 0.5000  0.04
Mn 0.6792 0.1792 0.5000  3.80

=====

V3GaSn after structural relaxation. Source: Alexandria via LeMat-Bulk, functional PBE.

**Excess energy over the best structure of this formula in the dataset**: 3.35 eV/f.u.
**Spin magnetization**: 1.20 μB/atom
**Total energy**: -5.39 eV per atom

a = 4.9199 Å, b = 4.9199 Å, c = 4.9199 Å
α = 90.00°, β = 90.00°, γ = 90.00°
Each line ends with the local moment (μB).
Atoms (fractional coordinates):
Sn 0.0000 0.0000 0.0000  -0.06
Ga 0.5000 0.5000 0.5000  -0.15
V 0.0000 0.5000 0.0000  1.88
V 0.0000 0.0000 0.5000  1.88
V 0.5000 0.0000 0.0000  1.88

=====

La2CdFe after structural relaxation. Source: Alexandria via LeMat-Bulk, functional PBE.

**Spin magnetization**: 0.41 μB/atom
**Total energy**: -4.64 eV per atom

a = 5.7022 Å, b = 5.7022 Å, c = 5.7022 Å
α = 131.70°, β = 131.70°, γ = 70.71°
Each line ends with the local moment (μB).
Atoms (fractional coordinates):
Cd 0.5000 0.5000 0.0000  -0.03
La 0.0000 0.0000 0.0000  -0.26
Fe 0.7500 0.2500 0.5000  2.65
La 0.2500 0.7500 0.5000  -0.26

=====

Sm3CuHg2 after structural relaxation. Source: Alexandria via LeMat-Bulk, functional PBE.

**Excess energy over the best structure of this formula in the dataset**: 0.06 eV/f.u.
**Spin magnetization**: 0.07 μB/atom
**Total energy**: -3.50 eV per atom

a = 3.7042 Å, b = 5.3024 Å, c = 8.2920 Å
α = 108.65°, β = 90.00°, γ = 90.00°
Each line ends with the local moment (μB).
Atoms (fractional coordinates):
Sm 0.5000 0.5000 0.0000  0.10
Hg 0.0000 0.6731 0.3461  0.00
Sm 0.5000 0.8446 0.6893  0.07
Hg 0.0000 0.3269 0.6539  0.00
Sm 0.5000 0.1554 0.3107  0.07
Cu 0.0000 0.0000 0.0000  0.02

=====

NdEuBiBr after structural relaxation. Source: Alexandria via LeMat-Bulk, functional PBE.

**E_form (uncorrected)**: -1047 meV/atom
**Spin magnetization**: 1.98 μB/atom
**Total energy**: -6.20 eV per atom

a = 5.5562 Å, b = 5.5562 Å, c = 5.5562 Å
α = 60.00°, β = 60.00°, γ = 60.00°
Each line ends with the local moment (μB).
Atoms (fractional coordinates):
Br 0.7500 0.7500 0.7500  -0.02
Nd 0.0000 0.0000 0.0000  0.34
Eu 0.5000 0.5000 0.5000  6.97
Bi 0.2500 0.2500 0.2500  -0.07

=====

ScReW3 after structural relaxation. Source: Alexandria via LeMat-Bulk, functional PBE.

**Excess energy over the best structure of this formula in the dataset**: 5.22 eV/f.u.
**Spin magnetization**: 0.00 μB/atom
**Total energy**: -8.91 eV per atom

a = 4.5074 Å, b = 4.5074 Å, c = 4.5074 Å
α = 90.00°, β = 90.00°, γ = 90.00°
Atoms (fractional coordinates):
W 0.5000 0.0000 0.0000
Re 0.5000 0.5000 0.5000
W 0.0000 0.5000 0.0000
W 0.0000 0.0000 0.5000
Sc 0.0000 0.0000 0.0000

=====

YHg2Sb after structural relaxation. Source: Alexandria via LeMat-Bulk, functional PBE.

**E_form (uncorrected)**: -328 meV/atom
**Spin magnetization**: 0.00 μB/atom
**Total energy**: -3.13 eV per atom

a = 8.4596 Å, b = 8.4596 Å, c = 6.7153 Å
α = 50.96°, β = 50.96°, γ = 90.00°
Atoms (fractional coordinates):
Y 0.2500 0.7500 0.5000
Hg 0.3750 0.3640 0.7500
Hg 0.8750 0.8860 0.7500
Y 0.5000 0.5000 0.0000
Hg 0.6360 0.1250 0.2500
Hg 0.1140 0.6250 0.2500
Sb 0.7500 0.2500 0.5000
Sb 0.0000 0.0000 0.0000

=====

ScTlCu2 after structural relaxation. Source: Alexandria via LeMat-Bulk, functional PBE.

**Spin magnetization**: 0.00 μB/atom
**Total energy**: -4.03 eV per atom

a = 5.4232 Å, b = 5.4232 Å, c = 3.0986 Å
α = 76.32°, β = 76.32°, γ = 114.73°
Atoms (fractional coordinates):
Cu 0.5000 0.5000 0.0000
Cu 0.0000 0.0000 0.0000
Sc 0.5000 0.0000 0.5000
Tl 0.0000 0.5000 0.5000

=====

Ho2LuTl after structural relaxation. Source: Alexandria via LeMat-Bulk, functional PBE.

**Excess energy over the best structure of this formula in the dataset**: 0.00 eV/f.u.
**Spin magnetization**: 0.15 μB/atom
**Total energy**: -4.17 eV per atom

a = 4.8212 Å, b = 4.7995 Å, c = 4.7995 Å
α = 90.00°, β = 90.00°, γ = 90.00°
Each line ends with the local moment (μB).
Atoms (fractional coordinates):
Ho 0.0000 0.5000 0.0000  0.17
Lu 0.5000 0.5000 0.5000  0.14
Tl 0.5000 0.0000 0.0000  -0.01
Ho 0.0000 0.0000 0.5000  0.17

=====

LaY7Er4 after structural relaxation. Source: Alexandria via LeMat-Bulk, functional PBE.

**Excess energy over the best structure of this formula in the dataset**: 3.38 eV/f.u.
**Spin magnetization**: 0.00 μB/atom
**Total energy**: -5.42 eV per atom

a = 5.8855 Å, b = 11.6037 Å, c = 6.7230 Å
α = 82.48°, β = 64.04°, γ = 75.31°
Atoms (fractional coordinates):
Y 0.6366 0.4922 0.2346
Y 0.3634 0.5078 0.7654
Y 0.5000 0.0000 0.0000
La 0.0000 0.0000 0.0000
Y 0.9460 0.3381 0.7699
Y 0.0540 0.6619 0.2301
Y 0.2097 0.0786 0.5021
Er 0.7421 0.6875 0.8282
Er 0.6294 0.2258 0.5153
Er 0.3706 0.7742 0.4847
Er 0.2579 0.3125 0.1718
Y 0.7903 0.9214 0.4979

=====

ZrCo2ReH after structural relaxation. Source: Alexandria via LeMat-Bulk, functional PBE.

**Spin magnetization**: 0.00 μB/atom
**Total energy**: -7.72 eV per atom

a = 3.8584 Å, b = 3.8584 Å, c = 3.9345 Å
α = 90.00°, β = 90.00°, γ = 90.00°
Atoms (fractional coordinates):
H 0.0000 0.0000 0.0000
Co 0.5000 0.0000 0.0000
Re 0.0000 0.0000 0.5000
Zr 0.5000 0.5000 0.5000
Co 0.0000 0.5000 0.0000

=====

TlIn3Br8 after structural relaxation. Source: Alexandria via LeMat-Bulk, functional PBE.

**E_form (uncorrected)**: -803 meV/atom
**Spin magnetization**: 0.00 μB/atom
**Total energy**: -2.80 eV per atom

a = 7.2196 Å, b = 7.2196 Å, c = 10.6718 Å
α = 89.67°, β = 89.67°, γ = 70.79°
Atoms (fractional coordinates):
Br 0.2856 0.2856 0.9596
Br 0.7688 0.2713 0.7475
Br 0.7220 0.7220 0.4488
In 0.0000 0.0000 0.5000
In 0.3914 0.3914 0.7521
Br 0.2780 0.2780 0.5512
Br 0.7287 0.2312 0.2525
In 0.6086 0.6086 0.2479
Br 0.2713 0.7688 0.7475
Tl 0.0000 0.0000 0.0000
Br 0.7144 0.7144 0.0404
Br 0.2312 0.7287 0.2525

=====

BaSc2Cl after structural relaxation. Source: Alexandria via LeMat-Bulk, functional PBE.

**Excess energy over the best structure of this formula in the dataset**: 3.56 eV/f.u.
**E_form (uncorrected)**: 396 meV/atom
**Spin magnetization**: 0.00 μB/atom
**Total energy**: -3.71 eV per atom

a = 5.4775 Å, b = 5.4775 Å, c = 5.4775 Å
α = 60.00°, β = 60.00°, γ = 60.00°
Atoms (fractional coordinates):
Sc 0.7500 0.7500 0.7500
Cl 0.0000 0.0000 0.0000
Sc 0.2500 0.2500 0.2500
Ba 0.5000 0.5000 0.5000

=====

Sr3NiC2N6 after structural relaxation. Source: Alexandria via LeMat-Bulk, functional PBE.

**E_form (uncorrected)**: -212 meV/atom
**Spin magnetization**: 0.29 μB/atom
**Total energy**: -6.81 eV per atom

a = 5.4337 Å, b = 5.4337 Å, c = 6.5083 Å
α = 90.00°, β = 90.00°, γ = 120.00°
Each line ends with the local moment (μB).
Atoms (fractional coordinates):
Sr 0.6667 0.3333 0.3197  0.02
Sr 0.0000 0.0000 0.0000  0.00
N 0.3770 0.1885 0.7147  0.24
C 0.3333 0.6667 0.2837  0.00
N 0.8115 0.1885 0.7147  0.24
C 0.6667 0.3333 0.7163  0.00
N 0.1885 0.3770 0.2853  0.24
Ni 0.0000 0.0000 0.5000  1.49
N 0.1885 0.8115 0.2853  0.24
N 0.6230 0.8115 0.2853  0.24
N 0.8115 0.6230 0.7147  0.24
Sr 0.3333 0.6667 0.6803  0.02

=====

Zn2Se after structural relaxation. Source: Alexandria via LeMat-Bulk, functional PBE.

**Excess energy over the best structure of this formula in the dataset**: 0.80 eV/f.u.
**E_form (uncorrected)**: 76 meV/atom
**Spin magnetization**: 0.00 μB/atom
**Total energy**: -1.93 eV per atom

a = 7.3316 Å, b = 7.3316 Å, c = 3.8331 Å
α = 90.00°, β = 90.00°, γ = 120.00°
Atoms (fractional coordinates):
Zn 0.5699 0.0000 0.5000
Zn 0.2728 0.0000 0.0000
Se 0.3333 0.6667 0.0000
Se 0.6667 0.3333 0.0000
Zn 0.0000 0.2728 0.0000
Zn 0.7272 0.7272 0.0000
Se 0.0000 0.0000 0.5000
Zn 0.0000 0.5699 0.5000
Zn 0.4301 0.4301 0.5000

=====

KTeAsN2 after structural relaxation. Source: Alexandria via LeMat-Bulk, functional PBE.

**Excess energy over the best structure of this formula in the dataset**: 0.00 eV/f.u.
**E_form (uncorrected)**: 1196 meV/atom
**Spin magnetization**: 0.70 μB/atom
**Total energy**: -3.91 eV per atom

a = 4.4347 Å, b = 4.4347 Å, c = 5.5887 Å
α = 90.00°, β = 90.00°, γ = 90.00°
Each line ends with the local moment (μB).
Atoms (fractional coordinates):
K 0.5000 0.5000 0.5000  0.01
As 0.0000 0.0000 0.0000  -0.03
Te 0.0000 0.0000 0.5000  0.29
N 0.5000 0.0000 0.0000  1.03
N 0.0000 0.5000 0.0000  1.03

=====

TlSbMo2Pt after structural relaxation. Source: Alexandria via LeMat-Bulk, functional PBE.

**E_form (uncorrected)**: 1344 meV/atom
**Spin magnetization**: 0.98 μB/atom
**Total energy**: -5.49 eV per atom

a = 5.0192 Å, b = 5.1970 Å, c = 5.0192 Å
α = 90.00°, β = 90.00°, γ = 90.00°
Each line ends with the local moment (μB).
Atoms (fractional coordinates):
Tl 0.5000 0.5000 0.5000  0.00
Sb 0.0000 0.5000 0.0000  -0.04
Pt 0.0000 0.0000 0.0000  0.08
Mo 0.0000 0.0000 0.5000  2.04
Mo 0.5000 0.0000 0.0000  2.19

=====

TmScZnRh after structural relaxation. Source: Alexandria via LeMat-Bulk, functional PBE.

**Excess energy over the best structure of this formula in the dataset**: 0.00 eV/f.u.
**Spin magnetization**: 0.00 μB/atom
**Total energy**: -5.53 eV per atom

a = 3.3659 Å, b = 3.3659 Å, c = 6.8020 Å
α = 90.00°, β = 90.00°, γ = 90.00°
Atoms (fractional coordinates):
Tm 0.0000 0.0000 0.8400
Zn 0.5000 0.5000 0.1277
Sc 0.0000 0.0000 0.3706
Rh 0.5000 0.5000 0.5897

=====

K2CoAs after structural relaxation. Source: Alexandria via LeMat-Bulk, functional PBE.

**Spin magnetization**: 0.55 μB/atom
**Total energy**: -2.97 eV per atom

a = 7.1939 Å, b = 4.9937 Å, c = 4.7914 Å
α = 90.09°, β = 48.08°, γ = 113.56°
Each line ends with the local moment (μB).
Atoms (fractional coordinates):
As 0.0000 0.5000 0.5000  0.14
K 0.5000 0.0000 0.5000  0.00
K 0.0000 0.0000 0.0000  0.00
Co 0.5000 0.5000 0.0000  1.89

=====

PrSmCdAu after structural relaxation. Source: Alexandria via LeMat-Bulk, functional PBE.

**Excess energy over the best structure of this formula in the dataset**: 0.00 eV/f.u.
**Spin magnetization**: 0.03 μB/atom
**Total energy**: -3.97 eV per atom

a = 3.7725 Å, b = 3.7725 Å, c = 7.5674 Å
α = 90.00°, β = 90.00°, γ = 90.00°
Atoms (fractional coordinates):
Pr 0.0000 0.0000 0.8681
Au 0.5000 0.5000 0.1210
Cd 0.5000 0.5000 0.5980
Sm 0.0000 0.0000 0.3408

=====

LiMnSi2 after structural relaxation. Source: Alexandria via LeMat-Bulk, functional PBE.

**Excess energy over the best structure of this formula in the dataset**: 0.04 eV/f.u.
**E_form (uncorrected)**: -183 meV/atom
**Spin magnetization**: 0.36 μB/atom
**Total energy**: -5.67 eV per atom

a = 2.6192 Å, b = 3.5138 Å, c = 5.2083 Å
α = 90.00°, β = 90.00°, γ = 90.00°
Each line ends with the local moment (μB).
Atoms (fractional coordinates):
Mn 0.5000 0.5000 0.7500  1.52
Si 0.0000 0.0000 0.9906  -0.03
Si 0.0000 0.0000 0.5094  -0.03
Li 0.5000 0.5000 0.2500  0.00

=====

RhWCl2 after structural relaxation. Source: Alexandria via LeMat-Bulk, functional PBE.

**Excess energy over the best structure of this formula in the dataset**: 4.31 eV/f.u.
**E_form (uncorrected)**: 887 meV/atom
**Spin magnetization**: 0.00 μB/atom
**Total energy**: -5.11 eV per atom

a = 3.0952 Å, b = 3.0945 Å, c = 6.2365 Å
α = 90.00°, β = 90.00°, γ = 90.00°
Atoms (fractional coordinates):
Rh 0.5000 0.5000 0.2500
W 0.5000 0.5000 0.7500
Cl 0.0000 0.0000 0.9855
Cl 0.0000 0.0000 0.5145

=====

KV2Mo after structural relaxation. Source: Alexandria via LeMat-Bulk, functional PBE.

**Excess energy over the best structure of this formula in the dataset**: 0.00 eV/f.u.
**Spin magnetization**: 0.86 μB/atom
**Total energy**: -6.10 eV per atom

a = 4.7149 Å, b = 4.7149 Å, c = 4.7149 Å
α = 60.00°, β = 60.00°, γ = 60.00°
Each line ends with the local moment (μB).
Atoms (fractional coordinates):
K 0.0000 0.0000 0.0000  0.05
V 0.7500 0.7500 0.7500  1.97
Mo 0.5000 0.5000 0.5000  -1.20
V 0.2500 0.2500 0.2500  1.97

=====

Mn3CuRu after structural relaxation. Source: Alexandria via LeMat-Bulk, functional PBE.

**Excess energy over the best structure of this formula in the dataset**: 2.48 eV/f.u.
**Spin magnetization**: 0.04 μB/atom
**Total energy**: -6.39 eV per atom

a = 4.1633 Å, b = 4.1633 Å, c = 4.1633 Å
α = 90.00°, β = 90.00°, γ = 90.00°
Each line ends with the local moment (μB).
Atoms (fractional coordinates):
Cu 0.0000 0.0000 0.0000  -0.11
Mn 0.0000 0.5000 0.0000  -0.24
Mn 0.5000 0.0000 0.0000  -0.22
Ru 0.5000 0.5000 0.5000  0.81
Mn 0.0000 0.0000 0.5000  -0.10

=====

ScWSe2 after structural relaxation. Source: Alexandria via LeMat-Bulk, functional PBE.

**Excess energy over the best structure of this formula in the dataset**: 2.14 eV/f.u.
**E_form (uncorrected)**: -33 meV/atom
**Spin magnetization**: 0.00 μB/atom
**Total energy**: -6.60 eV per atom

a = 3.2379 Å, b = 6.0768 Å, c = 4.0460 Å
α = 90.00°, β = 90.00°, γ = 90.00°
Atoms (fractional coordinates):
Sc 0.0000 0.5000 0.5000
Se 0.0000 0.0000 0.0000
Se 0.5000 0.5000 0.0000
W 0.5000 0.0000 0.5000